# 1
First-principles (meta-GGA SCAN) data for a crystal of BAsIrBr2 relaxed with PBEsol, as listed in Alexandria via LeMat-Bulk.

Structure (POSCAR):
```
BAsIrBr2
1.0
4.363 0.000 0.000
0.000 4.363 0.000
0.000 0.000 4.391
B As Ir Br
1 1 1 2
direct
0.000 0.000 0.000
0.000 0.000 0.500
0.500 0.500 0.500
0.000 0.500 0.000
0.500 0.000 0.000
```

Output
Calculated total energy, eV per formula unit: -130.01
Energy above the lowest structure with this stoichiometry, eV/atom: 0.235
Space-group type: No. 123

=====

# 2
First-principles (meta-GGA SCAN) data for a crystal of Pb3Se relaxed with PBEsol, as listed in Alexandria via LeMat-Bulk.

Structure (POSCAR):
```
Pb3Se
1.0
3.741 0.000 0.000
-1.870 3.240 0.000
0.000 0.000 9.415
Pb Se
3 1
direct
0.000 0.000 0.000
0.667 0.333 0.282
0.667 0.333 0.718
0.000 0.000 0.500
```

Output
Calculated total energy, eV per formula unit: -247.70
Space-group type: No. 187

=====

# 3
First-principles (meta-GGA SCAN) data for a crystal of Be2SiTe relaxed with PBEsol, as listed in Alexandria via LeMat-Bulk.

Structure (POSCAR):
```
Be2SiTe
1.0
1.819 1.050 5.343
-1.819 1.050 5.343
0.000 -2.101 5.343
Be Si Te
2 1 1
direct
0.226 0.226 0.226
0.774 0.774 0.774
0.500 0.500 0.500
0.000 0.000 0.000
```

Output
Calculated total energy, eV per formula unit: -54.26
Energy above the lowest structure with this stoichiometry, eV/atom: 0.000
Space-group type: No. 166

=====

| no. | formation energy from raw total energies (eV per atom) | D(E_F) (states/eV/atom) |
| --- | --- | --- |
| 1 | 1.53 | 0.683 |
| 2 | -0.07 | 0.567 |
| 3 | 0.43 | 0.314 |